This record from Alexandria via LeMat-Bulk describes CeSiGe after structural relaxation. The functional is PBE.

DOS(E_F)   15.9 states/eV/cell
Magnetization   0.000 μB/atom
Energy above the lowest structure with this stoichiometry   17.7 meV/atom
E_form (uncorrected)   -591 meV/atom

CIF file:
```
data_CeSiGe
_chemical_formula_sum 'Ce4 Si4 Ge4'
_cell_length_a 4.079
_cell_length_b 7.533
_cell_length_c 8.182
_cell_angle_alpha 90.00
_cell_angle_beta 90.00
_cell_angle_gamma 90.00
_symmetry_space_group_name_H-M 'I m m m'
_symmetry_Int_Tables_number 71
_symmetry_space_group_name_Hall '-I 2 2'
loop_
_atom_site_label
_atom_site_fract_x
_atom_site_fract_y
_atom_site_fract_z
_atom_site_occupancy
Ce1 0.000 0.000 0.248 1
Si1 0.000 0.344 0.500 1
Ge1 0.000 0.329 0.000 1
```